1.
DFT (GGA-PBE) results for a relaxed Ac3Re3Si8 crystal.

Structure (CIF):
```
data_Ac3Re3Si8
_chemical_formula_sum 'Ac3 Re3 Si8'
_symmetry_space_group_name_H-M 'P 1'
_symmetry_Int_Tables_number 1
_symmetry_space_group_name_Hall 'P 1'
_cell_length_a 4.264
_cell_length_b 8.304
_cell_length_c 8.304
_cell_angle_alpha 79.21
_cell_angle_beta 75.12
_cell_angle_gamma 75.12
loop_
_atom_site_label
_atom_site_fract_x
_atom_site_fract_y
_atom_site_fract_z
Ac1 0.500 0.500 0.500
Ac2 0.804 0.196 0.196
Ac3 0.196 0.804 0.804
Re1 0.500 0.000 0.000
Re2 0.000 0.792 0.208
Re3 0.000 0.208 0.792
Si1 0.616 0.091 0.677
Si2 0.384 0.909 0.323
Si3 0.616 0.677 0.091
Si4 0.384 0.323 0.909
Si5 0.837 0.826 0.500
Si6 0.163 0.174 0.500
Si7 0.837 0.500 0.826
Si8 0.163 0.500 0.174
```

The raw total energy is -6.883 eV/atom. For the formation energy (no corrections), the calculation gives -5.4 kcal/mol of atoms.



2.
DFT (GGA-PBE) results for a relaxed AcTaReSi2 crystal.

Structure (CIF):
```
data_AcTaReSi2
_chemical_formula_sum 'Ac1 Ta1 Re1 Si2'
_symmetry_space_group_name_H-M 'P 1'
_symmetry_Int_Tables_number 1
_symmetry_space_group_name_Hall 'P 1'
_cell_length_a 4.156
_cell_length_b 4.156
_cell_length_c 6.495
_cell_angle_alpha 108.66
_cell_angle_beta 108.66
_cell_angle_gamma 90.00
loop_
_atom_site_label
_atom_site_fract_x
_atom_site_fract_y
_atom_site_fract_z
Ac1 0.000 0.000 0.000
Ta1 0.750 0.250 0.500
Re1 0.250 0.750 0.500
Si1 0.619 0.619 0.237
Si2 0.381 0.381 0.763
```

The raw total energy is -8.286 eV/atom. For the formation energy (no corrections), the calculation gives -10.0 kcal/mol of atoms.



3.
DFT (GGA-PBE) results for a relaxed AcTiReSi2 crystal.

Structure (CIF):
```
data_AcTiReSi2
_chemical_formula_sum 'Ac1 Ti1 Re1 Si2'
_symmetry_space_group_name_H-M 'P 1'
_symmetry_Int_Tables_number 1
_symmetry_space_group_name_Hall 'P 1'
_cell_length_a 4.140
_cell_length_b 4.140
_cell_length_c 6.453
_cell_angle_alpha 108.71
_cell_angle_beta 108.71
_cell_angle_gamma 90.00
loop_
_atom_site_label
_atom_site_fract_x
_atom_site_fract_y
_atom_site_fract_z
Ac1 0.000 0.000 0.000
Ti1 0.250 0.750 0.500
Re1 0.750 0.250 0.500
Si1 0.620 0.620 0.241
Si2 0.380 0.380 0.759
```

The raw total energy is -7.591 eV/atom. For the formation energy (no corrections), the calculation gives -12.2 kcal/mol of atoms.



4.
DFT (GGA-PBE) results for a relaxed AcReSn crystal.

Structure (CIF):
```
data_AcReSn
_chemical_formula_sum 'Ac2 Re2 Sn2'
_symmetry_space_group_name_H-M 'P 1'
_symmetry_Int_Tables_number 1
_symmetry_space_group_name_Hall 'P 1'
_cell_length_a 3.637
_cell_length_b 3.637
_cell_length_c 12.199
_cell_angle_alpha 90.00
_cell_angle_beta 90.00
_cell_angle_gamma 90.00
loop_
_atom_site_label
_atom_site_fract_x
_atom_site_fract_y
_atom_site_fract_z
Sn1 0.000 0.500 0.570
Sn2 0.500 0.000 0.430
Ac1 0.500 0.000 0.772
Ac2 0.000 0.500 0.228
Re1 0.000 0.500 0.981
Re2 0.500 0.000 0.019
```

The raw total energy is -6.670 eV/atom. The formation energy from the elements comes out at 0.183 eV per atom.



5.
DFT (GGA-PBE) results for a relaxed Ac2ReSn crystal.

Structure (CIF):
```
data_Ac2ReSn
_chemical_formula_sum 'Ac2 Re1 Sn1'
_symmetry_space_group_name_H-M 'P 1'
_symmetry_Int_Tables_number 1
_symmetry_space_group_name_Hall 'P 1'
_cell_length_a 3.512
_cell_length_b 3.512
_cell_length_c 11.471
_cell_angle_alpha 81.20
_cell_angle_beta 81.20
_cell_angle_gamma 60.00
loop_
_atom_site_label
_atom_site_fract_x
_atom_site_fract_y
_atom_site_fract_z
Re1 0.000 0.000 0.000
Ac1 0.082 0.082 0.753
Ac2 0.918 0.918 0.247
Sn1 0.500 0.500 0.500
```

The raw total energy is -5.234 eV/atom. The formation energy from the elements comes out at 0.933 eV per atom.



6.
DFT (GGA-PBE) results for a relaxed AcReTe2 crystal.

Structure (CIF):
```
data_AcReTe2
_chemical_formula_sum 'Ac1 Re1 Te2'
_symmetry_space_group_name_H-M 'P 1'
_symmetry_Int_Tables_number 1
_symmetry_space_group_name_Hall 'P 1'
_cell_length_a 3.493
_cell_length_b 3.493
_cell_length_c 10.751
_cell_angle_alpha 80.65
_cell_angle_beta 80.65
_cell_angle_gamma 60.00
loop_
_atom_site_label
_atom_site_fract_x
_atom_site_fract_y
_atom_site_fract_z
Re1 0.000 0.000 0.000
Ac1 0.500 0.500 0.500
Te1 0.081 0.081 0.758
Te2 0.919 0.919 0.242
```

The raw total energy is -5.077 eV/atom. For the formation energy (no corrections), the calculation gives 14.6 kcal/mol of atoms.